1.
Material: LaSb2IBr
Method: DFT, PBE
State: relaxed

Calculated values
polymorph energy (0 for the lowest one)	0	meV/atom
uncorrected formation energy	0.071	eV per atom
V	243	Å³/cell
space-group type	P4/mmm

The structure in extended XYZ format:
```
5
Lattice="-0.5839 -2.4114 -5.8008 0.3297 -5.8295 2.3901 -6.0735 -0.0793 0.6443" Properties=species:S:1:pos:R:3 pbc="T T T"
Sb 0.1649 -2.9148 1.1951
Sb -0.2919 -1.2057 -2.9004
I -3.0368 -0.0397 0.3222
Br -3.1638 -4.1601 -1.3832
La 0.0000 0.0000 0.0000
```

2.
Material: La4SbI2Br
Method: DFT, PBE
State: relaxed

Calculated values
uncorrected formation energy	-1.138	eV per atom
V	265	Å³/cell
space-group type	P2/m

The structure in extended XYZ format:
```
8
Lattice="-1.0350 0.8318 -4.3965 3.4176 -6.4893 -2.0323 -7.8072 -1.3580 1.5811" Properties=species:S:1:pos:R:3 pbc="T T T"
I -2.1948 -3.9236 -0.2256
I -4.4211 -0.2631 -1.4077
La 0.8222 -5.2156 -1.1804
La -1.4447 -1.3432 -2.3128
La -5.2119 -2.6317 0.7291
La -3.9800 -5.6722 -2.5350
Sb 1.1913 -2.8287 -3.2144
Br 0.0000 0.0000 0.0000
```

3.
Material: LaSbI2Br
Method: DFT, PBE
State: relaxed

Calculated values
polymorph energy (0 for the lowest one)	0	meV/atom
uncorrected formation energy	-0.452	eV per atom
V	251	Å³/cell
space-group type	P4/mmm

The structure in extended XYZ format:
```
5
Lattice="6.1013 0.0000 0.0000 0.0000 6.1013 0.0000 0.0000 0.0000 6.7457" Properties=species:S:1:pos:R:3 pbc="T T T"
Sb 0.0000 0.0000 3.3729
Br 3.0506 3.0506 3.3729
I 0.0000 3.0506 0.0000
I 3.0506 0.0000 0.0000
La 0.0000 0.0000 0.0000
```

Number 1 is which compound? LaSb2IBr